# 1
The following is a DFT calculation (PBE) of a relaxed structure of Rb2PaIrO6.

Calculated values
The calculation puts the calculated volume at 14.77 A^3/atom. The density of states at the Fermi level is 0.643 states/eV/atom. For the raw total energy, the calculation gives -7.03 eV per atom. As for the space group: Fm-3m, No. 225. As for the formation energy without anion corrections: -2.026 eV/atom. The calculation puts the magnetization at 1.18 μB/cell.

POSCAR file:
```
Rb2PaIrO6
1.0
0.000 4.195 4.195
4.195 0.000 4.195
4.195 4.195 0.000
Rb Pa Ir O
2 1 1 6
direct
0.250 0.250 0.250
0.750 0.750 0.750
0.000 0.000 0.000
0.500 0.500 0.500
0.261 0.261 0.739
0.261 0.739 0.261
0.261 0.739 0.739
0.739 0.261 0.261
0.739 0.261 0.739
0.739 0.739 0.261
```

---

# 2
The following is a DFT calculation (PBE) of a relaxed structure of NdGdScTl.

Calculated values
The calculation puts the calculated volume at 28.56 A^3/atom. The density of states at the Fermi level is 1.291 states/eV/atom. For the raw total energy, the calculation gives -6.97 eV per atom. As for the space group: F-43m, No. 216. The calculation puts the magnetization at 8.41 μB/cell. For the energy of formation, the calculation gives -0.09 eV/atom.

POSCAR file:
```
NdGdScTl
1.0
0.000 3.851 3.851
3.851 0.000 3.851
3.851 3.851 0.000
Nd Gd Sc Tl
1 1 1 1
direct
0.000 0.000 0.000
0.500 0.500 0.500
0.750 0.750 0.750
0.250 0.250 0.250
```

---

# 3
The following is a DFT calculation (PBE) of a relaxed structure of LiZr2S2.

Calculated values
The calculation puts the calculated volume at 22.53 A^3/atom. The density of states at the Fermi level is 0.605 states/eV/atom. For the raw total energy, the calculation gives -6.17 eV per atom. As for the space group: I4/mmm, No. 139. As for the formation energy without anion corrections: -0.719 eV/atom. The calculation puts the magnetization at 0.00 μB/cell.

POSCAR file:
```
LiZr2S2
1.0
-2.352 2.352 5.091
2.352 -2.352 5.091
2.352 2.352 -5.091
Li Zr S
1 2 2
direct
0.000 0.000 0.000
0.353 0.353 0.000
0.647 0.647 0.000
0.250 0.750 0.500
0.750 0.250 0.500
```

---

# 4
The following is a DFT calculation (PBE) of a relaxed structure of Al2ReSb.

Calculated values
The calculation puts the calculated volume at 18.89 A^3/atom. The density of states at the Fermi level is 0.947 states/eV/atom. For the raw total energy, the calculation gives -5.59 eV per atom. As for the space group: Cmm2, No. 35. As for the formation energy without anion corrections: 0.419 eV/atom. The calculation puts the magnetization at 0.00 μB/cell.

POSCAR file:
```
Al2ReSb
1.0
1.549 -2.524 0.000
1.549 2.524 0.000
0.000 0.000 9.662
Al Re Sb
2 1 1
direct
0.000 0.000 0.000
0.500 0.500 0.241
0.000 0.000 0.452
0.500 0.500 0.691
```

---

# 5
The following is a DFT calculation (PBE) of a relaxed structure of Pr10Si3Ge3.

Calculated values
The calculation puts the calculated volume at 28.96 A^3/atom. The density of states at the Fermi level is 1.000 states/eV/atom. For the raw total energy, the calculation gives -5.48 eV per atom. As for the space group: P-62m, No. 189. As for the formation energy without anion corrections: -0.612 eV/atom. The calculation puts the magnetization at 0.00 μB/cell.

POSCAR file:
```
Pr10Si3Ge3
1.0
8.888 0.000 0.000
-4.444 7.697 0.000
0.000 0.000 6.773
Pr Si Ge
10 3 3
direct
0.000 0.246 0.000
0.000 0.751 0.500
0.246 0.000 0.000
0.249 0.249 0.500
0.333 0.667 0.246
0.333 0.667 0.754
0.667 0.333 0.246
0.667 0.333 0.754
0.751 0.000 0.500
0.754 0.754 0.000
0.000 0.608 0.000
0.392 0.392 0.000
0.608 0.000 0.000
0.000 0.392 0.500
0.392 0.000 0.500
0.608 0.608 0.500
```

---

# 6
The following is a DFT calculation (PBE) of a relaxed structure of TmPaNi.

Calculated values
The calculation puts the calculated volume at 22.54 A^3/atom. The density of states at the Fermi level is 1.333 states/eV/atom. For the raw total energy, the calculation gives -6.74 eV per atom. As for the space group: P2_1, No. 4. The calculation puts the magnetization at 0.00 μB/cell. For the energy of formation, the calculation gives -0.16 eV/atom.

POSCAR file:
```
TmPaNi
1.0
4.494 0.000 0.000
0.000 4.244 0.000
-0.064 0.000 7.089
Tm Pa Ni
2 2 2
direct
0.240 0.000 0.118
0.760 0.500 0.882
0.293 0.499 0.509
0.707 0.999 0.491
0.167 0.999 0.738
0.833 0.499 0.262
```